A) NbTlP2O | PBE | optimized geometry

Properties
DOS(E_F) in states/eV per atom: 0.64
Space group: P4/mmm (123)

Unit cell a=5.027 b=5.027 c=3.942 alpha=90.00 beta=90.00 gamma=90.00
Sites, in units of the cell vectors:
Nb: 0.000 0.000 0.000
Tl: 0.500 0.500 0.500
P: 0.000 0.500 0.000
P: 0.500 0.000 0.000
O: 0.000 0.000 0.500

B) NbTlP2O | PBE | optimized geometry

Properties
DOS(E_F) in states/eV per atom: 1.46
Space group: P4/mmm (123)

Unit cell a=5.034 b=5.034 c=3.997 alpha=90.00 beta=90.00 gamma=90.00
Sites, in units of the cell vectors:
Nb: 0.000 0.000 0.000
Tl: 0.500 0.500 0.500
P: 0.000 0.500 0.500
P: 0.500 0.000 0.500
O: 0.500 0.500 0.000

According to the calculations, the structures order from most to least stable as A), B).

A) NbTlP2O8 | PBE | optimized geometry

Properties
DOS(E_F) in states/eV per atom: 0.00
Space group: R-3 (148)

Unit cell a=9.187 b=9.187 c=9.187 alpha=32.29 beta=32.29 gamma=32.29
Sites, in units of the cell vectors:
Nb: 0.000 0.000 0.000
Tl: 0.500 0.500 0.500
P: 0.266 0.266 0.266
P: 0.734 0.734 0.734
O: 0.050 0.602 0.215
O: 0.208 0.208 0.208
O: 0.215 0.050 0.602
O: 0.398 0.785 0.950
O: 0.602 0.215 0.050
O: 0.785 0.950 0.398
O: 0.792 0.792 0.792
O: 0.950 0.398 0.785

B) NbTlP2O8 | PBE | optimized geometry

Properties
DOS(E_F) in states/eV per atom: 0.00
Space group: P2_1/c (14)

Unit cell a=5.180 b=13.032 c=12.301 alpha=90.00 beta=111.09 gamma=90.00
Sites, in units of the cell vectors:
Nb: 0.089 0.073 0.299
Nb: 0.089 0.427 0.799
Nb: 0.911 0.573 0.201
Nb: 0.911 0.927 0.701
Tl: 0.240 0.118 0.978
Tl: 0.240 0.382 0.478
Tl: 0.760 0.618 0.522
Tl: 0.760 0.882 0.022
P: 0.320 0.087 0.615
P: 0.320 0.413 0.115
P: 0.423 0.748 0.706
P: 0.423 0.752 0.206
P: 0.577 0.248 0.794
P: 0.577 0.252 0.294
P: 0.680 0.587 0.885
P: 0.680 0.913 0.385
O: 0.035 0.053 0.150
O: 0.035 0.447 0.650
O: 0.151 0.102 0.488
O: 0.151 0.398 0.988
O: 0.154 0.047 0.689
O: 0.154 0.453 0.189
O: 0.238 0.669 0.231
O: 0.238 0.831 0.731
O: 0.279 0.667 0.621
O: 0.279 0.833 0.121
O: 0.342 0.199 0.322
O: 0.342 0.301 0.822
O: 0.423 0.519 0.864
O: 0.423 0.981 0.364
O: 0.425 0.200 0.663
O: 0.425 0.300 0.163
O: 0.575 0.700 0.837
O: 0.575 0.800 0.337
O: 0.577 0.019 0.636
O: 0.577 0.481 0.136
O: 0.658 0.699 0.178
O: 0.658 0.801 0.678
O: 0.721 0.167 0.879
O: 0.721 0.333 0.379
O: 0.762 0.169 0.269
O: 0.762 0.331 0.769
O: 0.846 0.547 0.811
O: 0.846 0.953 0.311
O: 0.849 0.602 0.012
O: 0.849 0.898 0.512
O: 0.965 0.553 0.350
O: 0.965 0.947 0.850

According to the calculations, the structures order from most to least stable as A), B).

A) NbTlPO2 | PBE | optimized geometry

Properties
DOS(E_F) in states/eV per atom: 0.63
Space group: P4/mmm (123)

Unit cell a=4.000 b=4.000 c=5.711 alpha=90.00 beta=90.00 gamma=90.00
Sites, in units of the cell vectors:
Nb: 0.000 0.000 0.000
Tl: 0.500 0.500 0.500
P: 0.500 0.500 0.000
O: 0.000 0.500 0.500
O: 0.500 0.000 0.500

B) NbTlPO2 | PBE | optimized geometry

Properties
DOS(E_F) in states/eV per atom: 0.09
Space group: P4/mmm (123)

Unit cell a=3.994 b=3.994 c=5.289 alpha=90.00 beta=90.00 gamma=90.00
Sites, in units of the cell vectors:
Nb: 0.000 0.000 0.000
Tl: 0.500 0.500 0.500
P: 0.000 0.000 0.500
O: 0.000 0.500 0.000
O: 0.500 0.000 0.000

According to the calculations, the structures order from most to least stable as B), A).